DyThCI | PBE-GGA | optimized geometry

* Fermi-level density of states: 0.241 states/eV per atom
* formation energy (no corrections): -0.70 eV/atom

Structure (CIF):
```
data_DyThCI
_cell_length_a 3.7640
_cell_length_b 3.7640
_cell_length_c 23.3176
_cell_angle_alpha 90.00
_cell_angle_beta 90.00
_cell_angle_gamma 120.00
_symmetry_space_group_name_H-M 'R 3 m'
_symmetry_Int_Tables_number 160
_symmetry_space_group_name_Hall 'R 3 -2"'
loop_
_atom_site_label
_atom_site_fract_x
_atom_site_fract_y
_atom_site_fract_z
Dy1 0.0000 0.0000 0.0000
Th1 0.0000 0.0000 0.2181
C1 0.0000 0.0000 0.6107
I1 0.0000 0.0000 0.7708
```